The following is a DFT calculation (PBE with a Hubbard U) of crystalline Mn4Zn6F19 at its relaxed geometry.

a b c (Å): 7.8659 7.8659 7.8659
angles (deg): 109.47 109.47 109.47
Each line ends with the local moment (μB).
Atoms (fractional coordinates):
Zn: 0.1666 0.6666 0.5000  0.01
Zn: 0.3334 0.5000 0.8334  0.01
Zn: 0.5000 0.1666 0.6666  0.01
Zn: 0.6666 0.5000 0.1666  0.01
Zn: 0.8334 0.3334 0.5000  0.01
Zn: 0.5000 0.8334 0.3334  0.01
F: 0.6578 0.0283 0.2546  0.02
F: 0.4032 0.7454 0.7737  0.02
F: 0.3422 0.5968 0.3705  0.02
F: 0.3287 0.0000 0.3287  0.01
F: 0.3705 0.3422 0.5968  0.02
F: 0.0000 0.3287 0.3287  0.01
F: 0.6713 0.6713 0.0000  0.01
F: 0.2263 0.9717 0.6295  0.02
F: 0.0283 0.2546 0.6578  0.02
F: 0.3287 0.3287 0.0000  0.01
F: 0.7454 0.7737 0.4032  0.02
F: 0.6295 0.2263 0.9717  0.02
F: 0.9717 0.6295 0.2263  0.02
F: 0.5968 0.3705 0.3422  0.02
F: 0.0000 0.0000 0.0000  0.04
F: 0.6713 0.0000 0.6713  0.01
F: 0.7737 0.4032 0.7454  0.02
F: 0.0000 0.6713 0.6713  0.01
F: 0.2546 0.6578 0.0283  0.02
Mn: 0.7090 0.0000 0.0000  4.71
Mn: 0.0000 0.0000 0.7090  4.71
Mn: 0.0000 0.7090 0.0000  4.71
Mn: 0.2910 0.2910 0.2910  4.71

Results
As for the uncorrected energy: -139.65 eV/cell. Its magnetic moment is 20.05 μB per formula unit.